(1)
A geometry-optimized Tm2Pd8Au structure, computed with PBE-GGA.

Unit cell a=14.5125 b=4.2081 c=6.5066 alpha=90.00 beta=107.56 gamma=90.00
Last column: nearest neighbours and their distance in Å.
Space group C2/m (No. 12)
Symmetry-distinct sites (fractional):
Tm: 0.2163 0.0000 0.1656  10 Pd 2.75-3.06
Pd: 0.0368 0.0000 0.2247  1 Tm 2.75, 9 Pd 2.79-3.05, 2 Au 2.91
Pd: 0.0931 0.5000 0.9461  1 Au 2.81, 8 Pd 2.82-3.05, 3 Tm 2.85-3.06
Pd: 0.1437 0.0000 0.6865  7 Pd 2.85-2.94, 3 Tm 2.88-2.97, 2 Au 2.95
Pd: 0.1722 0.5000 0.4016  1 Au 2.76, 3 Tm 2.79, 8 Pd 2.84-3.07
Au: 0.0000 0.5000 0.5000  12 Pd 2.76-2.95



(2)
A geometry-optimized TmPd4Au5 structure, computed with PBE-GGA.

Unit cell a=4.9822 b=5.7869 c=6.5832 alpha=76.49 beta=74.71 gamma=75.49
Last column: nearest neighbours and their distance in Å.
Space group P-1 (No. 2)
Symmetry-distinct sites (fractional):
Tm: 0.0000 0.0000 0.0000  6 Pd 2.86-2.92, 6 Au 2.89-3.00
Pd: 0.1958 0.3001 0.6023  1 Tm 2.86, 8 Au 2.87-2.94, 3 Pd 2.93-2.97
Pd: 0.3973 0.1041 0.2038  7 Au 2.82-2.94, 2 Tm 2.91-2.92, 3 Pd 2.93-3.02
Au: 0.0000 0.5000 0.0000  6 Au 2.87-2.92, 2 Tm 2.89, 4 Pd 2.94
Au: 0.2039 0.8013 0.5917  7 Pd 2.82-2.91, 4 Au 2.91-2.96, 1 Tm 3.00
Au: 0.4067 0.6036 0.1988  6 Pd 2.87-2.92, 5 Au 2.87-2.96, 1 Tm 2.96



(3)
A geometry-optimized TmPd6Au2 structure, computed with PBE-GGA.

Computed properties:
Offset from the most stable computed form (eV per atom): 0.143

Unit cell a=9.9050 b=11.9424 c=5.4646 alpha=90.00 beta=104.32 gamma=90.00
Last column: nearest neighbours and their distance in Å.
Space group C2/c (No. 15)
Symmetry-distinct sites (fractional):
Tm: 0.0000 0.1010 0.2500  10 Pd 2.75-3.06
Pd: 0.0430 0.3078 0.0148  6 Pd 2.74-2.90, 3 Au 2.86-3.00, 1 Tm 2.86
Pd: 0.1408 0.1117 0.8109  4 Pd 2.70-2.86, 2 Au 2.78-2.84, 1 Tm 2.88
Pd: 0.2376 0.3116 0.6987  6 Pd 2.68-2.89, 1 Tm 2.75, 2 Au 2.75-2.83
Au: 0.1459 0.4844 0.3652  7 Pd 2.75-3.00, 3 Au 2.76-2.85



(4)
A geometry-optimized TmPd4Au3 structure, computed with PBE-GGA.

Computed properties:
Offset from the most stable computed form (eV per atom): 0.000

Unit cell a=9.3944 b=6.0054 c=4.9137 alpha=90.00 beta=90.00 gamma=90.00
Last column: nearest neighbours and their distance in Å.
Space group Pmma (No. 51)
Symmetry-distinct sites (fractional):
Tm: 0.0000 0.0000 0.0000  8 Pd 2.88-2.89, 4 Au 3.00-3.01
Pd: 0.0000 0.2515 0.5000  6 Au 2.85-2.87, 2 Tm 2.88, 4 Pd 2.94-3.02
Pd: 0.2500 0.2558 0.1395  6 Au 2.80-3.00, 2 Tm 2.89, 4 Pd 2.93-3.07
Au: 0.0000 0.5000 0.0000  8 Pd 2.85-2.87, 2 Au 2.93, 2 Tm 3.00
Au: 0.2500 0.0000 0.6157  8 Pd 2.80-3.00, 2 Au 3.01, 2 Tm 3.01
Au: 0.2500 0.5000 0.6425  8 Pd 2.85-2.87, 4 Au 2.93-3.01



(5)
A geometry-optimized TmPd6Au2 structure, computed with PBE-GGA.

Computed properties:
Offset from the most stable computed form (eV per atom): 0.000

Unit cell a=8.9688 b=4.1517 c=8.5035 alpha=90.00 beta=107.43 gamma=90.00
Last column: nearest neighbours and their distance in Å.
Space group C2/m (No. 12)
Symmetry-distinct sites (fractional):
Tm: 0.0000 0.0000 0.0000  8 Pd 2.84-2.90, 4 Au 2.97
Pd: 0.0069 0.0000 0.3357  3 Au 2.82-2.88, 8 Pd 2.83-2.90, 1 Tm 2.84
Pd: 0.1617 0.5000 0.8837  5 Pd 2.81-2.98, 4 Au 2.86-2.91, 3 Tm 2.87-2.90
Pd: 0.1629 0.5000 0.5540  9 Pd 2.79-2.91, 3 Au 2.80-2.86
Au: 0.1775 0.5000 0.2302  10 Pd 2.80-2.91, 2 Tm 2.97



(6)
A geometry-optimized TmPd4Au7 structure, computed with PBE-GGA.

Computed properties:
Offset from the most stable computed form (eV per atom): 0.000

Unit cell a=5.8456 b=6.4713 c=6.5528 alpha=72.51 beta=63.61 gamma=76.98
Last column: nearest neighbours and their distance in Å.
Space group P-1 (No. 2)
Symmetry-distinct sites (fractional):
Tm: 0.0000 0.0000 0.0000  4 Pd 2.89-2.90, 8 Au 2.92-2.99
Pd: 0.1645 0.6736 0.3333  8 Au 2.85-2.93, 1 Tm 2.89, 3 Pd 2.94-2.96
Pd: 0.4142 0.6659 0.8348  8 Au 2.85-2.97, 1 Tm 2.90, 3 Pd 2.91-2.95
Au: 0.0883 0.3435 0.1700  5 Pd 2.85-2.97, 6 Au 2.87-2.98, 1 Tm 2.99
Au: 0.2523 0.9992 0.4978  4 Pd 2.86-2.92, 7 Au 2.90-2.98, 1 Tm 2.95
Au: 0.3347 0.3367 0.6636  6 Au 2.87-2.98, 5 Pd 2.89-2.93, 1 Tm 2.94
Au: 0.5000 0.0000 0.0000  4 Pd 2.89-2.91, 6 Au 2.92-2.94, 2 Tm 2.92



(7)
A geometry-optimized TmPdAu5 structure, computed with PBE-GGA.

Unit cell a=5.2302 b=5.4761 c=10.0039 alpha=90.00 beta=90.00 gamma=90.00
Last column: nearest neighbours and their distance in Å.
Space group Imm2 (No. 44)
Symmetry-distinct sites (fractional):
Tm: 0.0000 0.0000 0.0000  7 Au 2.80-3.04
Pd: 0.0000 0.5000 0.6904  6 Au 2.75-3.04
Au: 0.0000 0.0000 0.7204  2 Pd 2.75, 1 Tm 2.80, 6 Au 2.81-2.96
Au: 0.0000 0.2547 0.2561  6 Au 2.69-2.96, 1 Tm 2.92
Au: 0.2477 0.5000 0.9721  5 Au 2.59-2.89



(8)
A geometry-optimized Tm8PdAu2 structure, computed with PBE-GGA.

Unit cell a=17.3485 b=5.0403 c=6.7417 alpha=90.00 beta=105.17 gamma=90.00
Last column: nearest neighbours and their distance in Å.
Space group C2/m (No. 12)
Symmetry-distinct sites (fractional):
Tm: 0.0292 0.0000 0.2795  1 Au 2.86, 2 Pd 3.04
Tm: 0.0904 0.5000 0.9467  1 Pd 3.01, 2 Au 3.34, 2 Tm 3.37
Tm: 0.1625 0.5000 0.4701  3 Au 2.85-3.10, 1 Pd 2.88
Tm: 0.2032 0.0000 0.8198  1 Au 2.83
Pd: 0.0000 0.5000 0.5000  8 Tm 2.88-3.04
Au: 0.1879 0.0000 0.2278  5 Tm 2.83-3.10



Magnetization (computed, Bohr magnetons per cell): 0.0, 0.0, 0.0, 0.0, 0.0, 0.0, 0.0, 0.0
ΔE_f (computed, kcal/mol of atoms): -13.14, -9.47, -6.95, -11.31, -10.26, -7.55, -4.84, -11.35